Here is an optimized crystal structure of Na3Bi5Te12 from the Alexandria database. Energies are from PBE.

## Properties
SG	Ia-3d (230)
formation energy without anion corrections	-2.85	eV/f.u.

POSCAR file:
```
Na3Bi5Te12
1.0
-9.192 9.192 9.192
9.192 -9.192 9.192
9.192 9.192 -9.192
Na Bi Te
12 20 48
Direct
0.125 0.250 0.375
0.125 0.375 0.750
0.250 0.375 0.125
0.250 0.875 0.625
0.375 0.125 0.250
0.375 0.750 0.125
0.625 0.250 0.875
0.625 0.875 0.750
0.750 0.125 0.375
0.750 0.625 0.875
0.875 0.625 0.250
0.875 0.750 0.625
0.000 0.000 0.000
0.000 0.000 0.500
0.000 0.500 0.000
0.000 0.500 0.500
0.125 0.750 0.875
0.125 0.875 0.250
0.250 0.125 0.875
0.250 0.625 0.375
0.375 0.250 0.625
0.375 0.625 0.750
0.500 0.000 0.000
0.500 0.000 0.500
0.500 0.500 0.000
0.500 0.500 0.500
0.625 0.375 0.250
0.625 0.750 0.375
0.750 0.375 0.625
0.750 0.875 0.125
0.875 0.125 0.750
0.875 0.250 0.125
0.058 0.226 0.139
0.058 0.332 0.918
0.082 0.639 0.413
0.082 0.942 0.668
0.087 0.726 0.668
0.087 0.861 0.418
0.139 0.058 0.226
0.139 0.582 0.913
0.168 0.226 0.587
0.168 0.442 0.582
0.226 0.139 0.058
0.226 0.587 0.168
0.274 0.332 0.913
0.274 0.442 0.361
0.332 0.913 0.274
0.332 0.918 0.058
0.361 0.274 0.442
0.361 0.587 0.918
0.413 0.082 0.639
0.413 0.832 0.774
0.418 0.087 0.861
0.418 0.832 0.558
0.442 0.361 0.274
0.442 0.582 0.168
0.558 0.418 0.832
0.558 0.639 0.726
0.582 0.168 0.442
0.582 0.913 0.139
0.587 0.168 0.226
0.587 0.918 0.361
0.639 0.413 0.082
0.639 0.726 0.558
0.668 0.082 0.942
0.668 0.087 0.726
0.726 0.558 0.639
0.726 0.668 0.087
0.774 0.413 0.832
0.774 0.861 0.942
0.832 0.558 0.418
0.832 0.774 0.413
0.861 0.418 0.087
0.861 0.942 0.774
0.913 0.139 0.582
0.913 0.274 0.332
0.918 0.058 0.332
0.918 0.361 0.587
0.942 0.668 0.082
0.942 0.774 0.861
```

=====

Here is an optimized crystal structure of NpCu3P3 from the Alexandria database. Energies are from PBE.

## Properties
E_form	-0.254	eV/atom
SG	P6_3/m (176)

POSCAR file:
```
NpCu3P3
1.0
9.061 0.000 0.000
-4.531 7.847 0.000
0.000 0.000 3.804
Np Cu P
2 6 6
Direct
0.333 0.667 0.250
0.667 0.333 0.750
0.043 0.640 0.750
0.360 0.402 0.750
0.402 0.043 0.250
0.598 0.957 0.750
0.640 0.598 0.250
0.957 0.360 0.250
0.115 0.417 0.750
0.302 0.885 0.750
0.417 0.302 0.250
0.583 0.698 0.750
0.698 0.115 0.250
0.885 0.583 0.250
```

=====

Here is an optimized crystal structure of Y3Pt2O from the Alexandria database. Energies are from PBE.

## Properties
SG	C2/c (15)
formation energy without anion corrections	-9.62	eV/f.u.

POSCAR file:
```
Y3Pt2O
1.0
6.316 -2.846 0.000
6.316 2.846 0.000
-2.183 0.000 7.117
Y Pt O
6 4 2
Direct
0.048 0.952 0.750
0.355 0.358 0.927
0.358 0.355 0.427
0.642 0.645 0.573
0.645 0.642 0.073
0.952 0.048 0.250
0.174 0.177 0.588
0.177 0.174 0.088
0.823 0.826 0.912
0.826 0.823 0.412
0.454 0.546 0.750
0.546 0.454 0.250
```

=====

Here is an optimized crystal structure of SbAsOF2 from the Alexandria database. Energies are from PBE.

## Properties
SG	P4/mmm (123)
formation energy without anion corrections	-4.02	eV/f.u.

POSCAR file:
```
SbAsOF2
1.0
4.486 0.000 0.000
0.000 4.486 0.000
0.000 0.000 4.306
Sb As O F
1 1 1 2
Direct
0.000 0.000 0.000
0.500 0.500 0.500
0.000 0.000 0.500
0.000 0.500 0.000
0.500 0.000 0.000
```

=====

Here is an optimized crystal structure of BeTeAs from the Alexandria database. Energies are from PBE.

## Properties
SG	P3m1 (156)
formation energy without anion corrections	0.55	eV/f.u.

POSCAR file:
```
BeTeAs
1.0
3.776 0.000 0.000
-1.888 3.271 0.000
0.000 0.000 4.702
Be Te As
1 1 1
Direct
0.000 0.000 0.000
0.667 0.333 0.323
0.333 0.667 0.784
```

=====

Here is an optimized crystal structure of PmPu2Sb2Pd2 from the Alexandria database. Energies are from PBE.

## Properties
SG	R-3m (166)
formation energy without anion corrections	-4.99	eV/f.u.

POSCAR file:
```
PmPu2Sb2Pd2
1.0
2.339 1.351 8.795
-2.339 1.351 8.795
0.000 -2.701 8.795
Pm Pu Sb Pd
1 2 2 2
Direct
0.000 0.000 0.000
0.143 0.143 0.143
0.857 0.857 0.857
0.265 0.265 0.265
0.735 0.735 0.735
0.437 0.437 0.437
0.563 0.563 0.563
```

=====

Here is an optimized crystal structure of Sr2Sb3PtRh4 from the Alexandria database. Energies are from PBE.

## Properties
SG	P-4m2 (115)
formation energy without anion corrections	-6.42	eV/f.u.

POSCAR file:
```
Sr2Sb3PtRh4
1.0
4.497 0.000 0.000
0.000 4.497 0.000
0.000 0.000 10.761
Sr Sb Pt Rh
2 3 1 4
Direct
0.000 0.500 0.244
0.500 0.000 0.756
0.000 0.000 0.000
0.000 0.500 0.632
0.500 0.000 0.368
0.500 0.500 0.000
0.000 0.000 0.500
0.000 0.500 0.873
0.500 0.000 0.127
0.500 0.500 0.500
```

=====

Here is an optimized crystal structure of NaLiMnTe3 from the Alexandria database. Energies are from PBE.

## Properties
SG	P2_1/m (11)
formation energy without anion corrections	-3.18	eV/f.u.

POSCAR file:
```
NaLiMnTe3
1.0
7.627 0.000 0.000
0.000 4.114 0.000
-3.792 0.000 10.012
Na Li Mn Te
2 2 2 6
Direct
0.230 0.250 0.165
0.770 0.750 0.835
0.425 0.250 0.895
0.575 0.750 0.105
0.198 0.750 0.659
0.802 0.250 0.341
0.059 0.750 0.388
0.211 0.750 0.919
0.432 0.250 0.644
0.568 0.750 0.356
0.789 0.250 0.081
0.941 0.250 0.612
```